# 1
# GGA-PBE La2SnAs2, relaxed
# total energy = -0.420 Ry/atom
# formation energy from the elements = -1.090 eV per atom
# M_tot = 0.00 μB/f.u.
# calculated density = 6.69 g/cm3
# polymorph energy (0 for the lowest one) = 0.0 meV/atom
# Fermi-level density of states = 2.3 states/eV/f.u.
data_La2SnAs2
_chemical_formula_sum 'La4 Sn2 As4'
_symmetry_space_group_name_H-M 'P 4/m b m'
_symmetry_Int_Tables_number 127
_symmetry_space_group_name_Hall '-P 4 2ab'
_cell_length_a 8.1204
_cell_length_b 8.1204
_cell_length_c 4.1141
_cell_angle_alpha 90.00
_cell_angle_beta 90.00
_cell_angle_gamma 90.00
loop_
_atom_site_label
_atom_site_type_symbol
_atom_site_fract_x
_atom_site_fract_y
_atom_site_fract_z
La1 La 0.1555 0.3445 0.0000
Sn1 Sn 0.0000 0.0000 0.5000
As1 As 0.1525 0.6525 0.5000

# 2
# GGA-PBE Cs3Ho3CrSe8, relaxed
# total energy = -0.367 Ry/atom
# M_tot = 2.30 μB/f.u.
# calculated density = 5.30 g/cm3
# uncorrected formation energy = -32.45 kcal/mol of atoms
# Fermi-level density of states = 8.1 states/eV/f.u.
data_Cs3Ho3CrSe8
_chemical_formula_sum 'Cs6 Ho6 Cr2 Se16'
_symmetry_space_group_name_H-M 'C 1 2/m 1'
_symmetry_Int_Tables_number 12
_symmetry_space_group_name_Hall '-C 2y'
_cell_length_a 14.1113
_cell_length_b 8.1369
_cell_length_c 9.8181
_cell_angle_alpha 90.00
_cell_angle_beta 118.67
_cell_angle_gamma 90.00
loop_
_atom_site_label
_atom_site_type_symbol
_atom_site_fract_x
_atom_site_fract_y
_atom_site_fract_z
Cs1 Cs 0.0000 0.0000 0.0000
Cs2 Cs 0.2500 0.2500 0.0000
Ho1 Ho 0.0000 0.5000 0.5000
Ho2 Ho 0.2500 0.2500 0.5000
Cr1 Cr 0.0000 0.0000 0.5000
Se1 Se 0.0189 0.2302 0.3265
Se2 Se 0.2114 0.0000 0.6735
Se3 Se 0.2290 0.5000 0.6871